No. 1
Compound: CeIn2I8
Source: Alexandria
Functional: PBE-GGA
Structure: optimized geometry

Properties
E_form (uncorrected) = -0.730 eV/atom
Calculated total energy = -2.8946 eV per atom
Symmetry = C2/m (12)

Cell: 9.1642 9.1642 7.5807 Å, 98.22 98.22 76.74°
Positions (direct):
Ce (0.0000, 0.0000, 0.0000)
In (0.2073, 0.2073, 0.6669)
In (0.7927, 0.7927, 0.3331)
I (0.0955, 0.7190, 0.2219)
I (0.1942, 0.1942, 0.2758)
I (0.2810, 0.9045, 0.7781)
I (0.3936, 0.3936, 0.8446)
I (0.6064, 0.6064, 0.1554)
I (0.7190, 0.0955, 0.2219)
I (0.8058, 0.8058, 0.7242)
I (0.9045, 0.2810, 0.7781)


No. 2
Compound: TiSiSn2Au
Source: Alexandria
Functional: PBE-GGA
Structure: optimized geometry

Properties
E_form (uncorrected) = 0.859 eV/atom
Calculated total energy = -4.0616 eV per atom
Symmetry = P4/mmm (123)

Cell: 5.2077 5.2077 5.0950 Å, 90.00 90.00 90.00°
Positions (direct):
Ti (0.0000, 0.0000, 0.0000)
Si (0.5000, 0.5000, 0.0000)
Sn (0.0000, 0.5000, 0.5000)
Sn (0.5000, 0.0000, 0.5000)
Au (0.0000, 0.0000, 0.5000)


- The highest calculated total energy belongs to which entry?
  CeIn2I8


- What is the calculated total energy in the second record?
  -4.0616 eV per atom